1.
Compound: BeNi2O
Source: Alexandria via LeMat-Bulk
Functional: PBE+U
Structure: relaxed Values from VASP.

Calculated values
**Offset from the most stable computed form**: 0.00 kJ/mol of atoms
**VASP energy**: -24.83 eV/cell
**Total moment**: 3.81 μB per cell
**Space-group type**: I-42d (122)

Cell and atoms, written as Quantum ESPRESSO input:
```
&SYSTEM
  ibrav = 0, nat = 8, ntyp = 3
/
ATOMIC_SPECIES
Ni 58.69 Ni.upf
O 16.00 O.upf
Be 9.01 Be.upf
ATOMIC_POSITIONS crystal
Ni 0.6402 0.1250 0.2500
Ni 0.1098 0.6250 0.2500
Ni 0.3750 0.3598 0.7500
Ni 0.8750 0.8902 0.7500
O 0.0000 0.0000 0.0000
O 0.7500 0.2500 0.5000
Be 0.5000 0.5000 0.0000
Be 0.2500 0.7500 0.5000
CELL_PARAMETERS angstrom
-1.6548 -2.9123 -0.1267
1.5626 -1.0092 2.7885
-5.5056 0.9623 5.4481
```

***

2.
Compound: BeNiO3
Source: Alexandria via LeMat-Bulk
Functional: PBE+U
Structure: relaxed Values from VASP.

Calculated values
**VASP energy**: -21.13 eV/cell
**Total moment**: 0.00 μB per cell
**Space-group type**: Pm-3m (221)

Cell and atoms, written as Quantum ESPRESSO input:
```
&SYSTEM
  ibrav = 0, nat = 5, ntyp = 3
/
ATOMIC_SPECIES
Ni 58.69 Ni.upf
O 16.00 O.upf
Be 9.01 Be.upf
ATOMIC_POSITIONS crystal
Ni 0.0000 0.0000 0.0000
O 0.0000 0.5000 0.0000
O 0.0000 0.0000 0.5000
O 0.5000 0.0000 0.0000
Be 0.5000 0.5000 0.5000
CELL_PARAMETERS angstrom
-2.5074 0.1630 -2.5805
1.6064 -2.7184 -1.7326
-2.0260 -2.3571 1.8198
```

***

3.
Compound: BeNi2O
Source: Alexandria via LeMat-Bulk
Functional: PBE+U
Structure: relaxed Values from VASP.

Calculated values
**Offset from the most stable computed form**: 34.92 kJ/mol of atoms
**VASP energy**: -10.97 eV/cell
**Total moment**: 1.70 μB per cell
**Space-group type**: Fm-3m (225)

Cell and atoms, written as Quantum ESPRESSO input:
```
&SYSTEM
  ibrav = 0, nat = 4, ntyp = 3
/
ATOMIC_SPECIES
Ni 58.69 Ni.upf
O 16.00 O.upf
Be 9.01 Be.upf
ATOMIC_POSITIONS crystal
Ni 0.2500 0.2500 0.2500
Ni 0.7500 0.7500 0.7500
O 0.5000 0.5000 0.5000
Be 0.0000 0.0000 0.0000
CELL_PARAMETERS angstrom
0.0000 2.6511 2.6511
2.6511 0.0000 2.6511
2.6511 2.6511 0.0000
```

***

4.
Compound: BeNiOsO6
Source: Alexandria via LeMat-Bulk
Functional: PBE+U
Structure: relaxed Values from VASP.

Calculated values
**VASP energy**: -115.07 eV/cell
**Total moment**: 3.98 μB per cell
**Space-group type**: P-31c (163)

Cell and atoms, written as Quantum ESPRESSO input:
```
&SYSTEM
  ibrav = 0, nat = 18, ntyp = 4
/
ATOMIC_SPECIES
Be 9.01 Be.upf
Ni 58.69 Ni.upf
Os 190.23 Os.upf
O 16.00 O.upf
ATOMIC_POSITIONS crystal
Be 0.6667 0.3333 0.2500
Be 0.3333 0.6667 0.7500
Ni 0.0000 0.0000 0.0000
Ni 0.0000 0.0000 0.5000
Os 0.3333 0.6667 0.2500
Os 0.6667 0.3333 0.7500
O 0.6487 0.6425 0.1349
O 0.9938 0.3513 0.1349
O 0.3513 0.9938 0.6349
O 0.0062 0.6487 0.8651
O 0.3575 0.3513 0.3651
O 0.9938 0.6425 0.3651
O 0.6425 0.9938 0.8651
O 0.6487 0.0062 0.3651
O 0.0062 0.3575 0.6349
O 0.3575 0.0062 0.1349
O 0.6425 0.6487 0.6349
O 0.3513 0.3575 0.8651
CELL_PARAMETERS angstrom
4.7894 0.0000 0.0000
-2.3947 4.1477 0.0000
0.0000 0.0000 8.8611
```

***

Q: Look up the total moment of the fourth one.
A: 3.98 μB per cell

***

Copy entry 1 word for word.
Compound: BeNi2O
Source: Alexandria via LeMat-Bulk
Functional: PBE+U
Structure: relaxed Values from VASP.

Calculated values
**Offset from the most stable computed form**: 0.00 kJ/mol of atoms
**VASP energy**: -24.83 eV/cell
**Total moment**: 3.81 μB per cell
**Space-group type**: I-42d (122)

Cell and atoms, written as Quantum ESPRESSO input:
```
&SYSTEM
  ibrav = 0, nat = 8, ntyp = 3
/
ATOMIC_SPECIES
Ni 58.69 Ni.upf
O 16.00 O.upf
Be 9.01 Be.upf
ATOMIC_POSITIONS crystal
Ni 0.6402 0.1250 0.2500
Ni 0.1098 0.6250 0.2500
Ni 0.3750 0.3598 0.7500
Ni 0.8750 0.8902 0.7500
O 0.0000 0.0000 0.0000
O 0.7500 0.2500 0.5000
Be 0.5000 0.5000 0.0000
Be 0.2500 0.7500 0.5000
CELL_PARAMETERS angstrom
-1.6548 -2.9123 -0.1267
1.5626 -1.0092 2.7885
-5.5056 0.9623 5.4481
```

***

Q: VASP energy of number 4 (BeNiOsO6)?
A: -115.07 eV/cell

***

Q: Which value of total moment does entry 2 give?
A: 0.00 μB per cell